U3Al2Ge3 | PBE-GGA | optimized geometry

Cell lengths 7.802, 7.802, 7.802 Å; angles 120.63, 120.63, 88.91 degrees
Site moments in Bohr magnetons follow the coordinates.
Sites, in units of the cell vectors:
Ge 0.558 0.058 0.198  -0.04
Ge 0.860 0.360 0.802  -0.04
Ge 0.058 0.860 0.500  -0.04
Ge 0.360 0.558 0.500  -0.04
Ge 0.488 0.488 0.000  -0.04
Ge 0.988 0.988 0.000  -0.04
Al 0.473 0.973 0.777  0.00
Al 0.695 0.473 0.500  0.00
Al 0.195 0.695 0.223  0.00
Al 0.973 0.195 0.500  0.00
U 0.869 0.369 0.193  2.26
U 0.369 0.177 0.500  2.26
U 0.240 0.240 0.000  2.16
U 0.677 0.869 0.500  2.26
U 0.740 0.740 0.000  2.16
U 0.177 0.677 0.807  2.26

Results
As for the symmetry: I4cm (108). The value obtained for the electronic total energy is -7.12 eV per atom. As for the formation enthalpy at 0 K: -1.719 eV per formula unit.